# KSc2Be

Crystalline KSc2Be at its relaxed geometry (PBE, Alexandria).

Geometry as extended XYZ:
```
4
Lattice="0.000 3.683 3.683 3.683 0.000 3.683 3.683 3.683 0.000" Properties=species:S:1:pos:R:3 pbc="T T T"
K 0.000 0.000 0.000
Sc 3.683 3.683 3.683
Sc 5.524 5.524 5.524
Be 1.841 1.841 1.841
```

N(E_F), states/eV/atom: 1.47
Formation energy from the elements, meV per atom: 944
ρ, Mg/m³: 2.29
Space group: F-43m (216)

---

# Nd6Co5Ge2

Crystalline Nd6Co5Ge2 at its relaxed geometry (PBE, Alexandria).

Geometry as extended XYZ:
```
13
Lattice="4.197 0.000 0.000 0.000 4.682 7.642 0.000 -4.682 7.642" Properties=species:S:1:pos:R:3 pbc="T T T"
Nd 0.000 0.000 0.000
Nd 0.000 -2.799 10.648
Nd 0.000 2.799 10.648
Nd 2.099 -2.506 5.845
Nd 2.099 0.000 9.536
Nd 2.099 2.506 5.845
Co 2.099 0.000 2.022
Co 2.099 -2.682 8.570
Co 2.099 0.000 4.268
Co 2.099 0.000 6.781
Co 2.099 2.682 8.570
Ge 0.000 0.000 5.638
Ge 0.000 0.000 12.086
```

N(E_F), states/eV/atom: 1.11
Formation energy from the elements, meV per atom: -89
ρ, Mg/m³: 7.22
Space group: Amm2 (38)

---

# VAsSCl2

Crystalline VAsSCl2 at its relaxed geometry (PBE, Alexandria).

Geometry as extended XYZ:
```
5
Lattice="4.904 0.000 0.000 0.000 4.904 0.000 0.000 0.000 5.035" Properties=species:S:1:pos:R:3 pbc="T T T"
V 0.000 0.000 0.000
As 2.452 2.452 2.518
S 2.452 2.452 0.000
Cl 0.000 2.452 2.518
Cl 2.452 0.000 2.518
```

N(E_F), states/eV/atom: 0.97
Raw formation energy, meV per atom: 340.1
ρ, Mg/m³: 3.14
Space group: P4/mmm (123)
Offset from the most stable computed form, eV per atom: 0.453

---

# NaCa2AlPt

Crystalline NaCa2AlPt at its relaxed geometry (PBE, Alexandria).

Geometry as extended XYZ:
```
5
Lattice="5.650 0.000 0.000 0.000 5.650 0.000 0.000 0.000 4.835" Properties=species:S:1:pos:R:3 pbc="T T T"
Na 0.000 0.000 0.000
Ca 0.000 2.825 2.417
Ca 2.825 0.000 2.417
Al 2.825 2.825 0.000
Pt 2.825 2.825 2.417
```

N(E_F), states/eV/atom: 0.72
Formation energy from the elements, meV per atom: -443
ρ, Mg/m³: 3.50
Space group: P4/mmm (123)

---

# Rb3Np3VSe8

Crystalline Rb3Np3VSe8 at its relaxed geometry (PBE, Alexandria).

Geometry as extended XYZ:
```
15
Lattice="4.127 2.382 8.156 -4.127 2.382 8.156 0.000 -4.765 8.156" Properties=species:S:1:pos:R:3 pbc="T T T"
Rb -2.063 -1.191 8.156
Rb -2.063 1.191 16.311
Rb 0.000 2.382 8.156
Np -4.127 0.000 12.233
Np -2.063 1.191 4.078
Np 2.063 1.191 4.078
V 0.000 0.000 12.233
Se 0.000 0.000 5.680
Se -1.956 -1.129 13.727
Se 0.000 -2.258 10.740
Se -1.956 1.129 10.740
Se 1.956 -1.129 13.727
Se 0.000 2.258 13.727
Se 1.956 1.129 10.740
Se 0.000 0.000 18.786
```

N(E_F), states/eV/atom: 2.48
Raw formation energy, meV per atom: -1108.8
ρ, Mg/m³: 5.70
Space group: R-3m (166)

---

# ThUN

Crystalline ThUN at its relaxed geometry (PBE, Alexandria).

Geometry as extended XYZ:
```
3
Lattice="3.445 0.000 0.000 -1.723 2.984 0.000 0.000 0.000 6.211" Properties=species:S:1:pos:R:3 pbc="T T T"
Th 0.000 0.000 0.000
U 0.000 1.989 2.914
N 1.723 0.995 1.595
```

N(E_F), states/eV/atom: 2.36
Raw formation energy, meV per atom: -524.1
ρ, Mg/m³: 12.59
Space group: P3m1 (156)
Offset from the most stable computed form, eV per atom: 0.178

---

# LiMgAlBi

Crystalline LiMgAlBi at its relaxed geometry (PBE, Alexandria).

Geometry as extended XYZ:
```
4
Lattice="0.000 3.575 3.575 3.575 0.000 3.575 3.575 3.575 0.000" Properties=species:S:1:pos:R:3 pbc="T T T"
Li 0.000 0.000 0.000
Mg 3.575 3.575 3.575
Al 1.787 1.787 1.787
Bi 5.362 5.362 5.362
```

N(E_F), states/eV/atom: 0.59
Formation energy from the elements, meV per atom: -54
ρ, Mg/m³: 4.86
Space group: F-43m (216)

---

# TbSmPa2S4

Crystalline TbSmPa2S4 at its relaxed geometry (PBE, Alexandria).

Geometry as extended XYZ:
```
8
Lattice="6.706 0.000 0.000 0.000 3.883 0.000 -2.252 0.000 6.581" Properties=species:S:1:pos:R:3 pbc="T T T"
Tb 0.000 0.000 0.000
Sm 3.353 1.942 0.000
Pa -1.126 1.942 3.291
Pa 2.227 0.000 3.291
S -0.033 0.000 4.922
S 1.093 1.942 1.644
S 3.361 1.942 4.937
S 4.486 0.000 1.659
```

N(E_F), states/eV/atom: 0.99
Raw formation energy, meV per atom: -1777.8
ρ, Mg/m³: 8.72
Space group: P2/m (10)

---

# BaNaCdBi2

Crystalline BaNaCdBi2 at its relaxed geometry (PBE, Alexandria).

Geometry as extended XYZ:
```
5
Lattice="-2.452 2.452 7.106 2.452 -2.452 7.106 2.452 2.452 -7.106" Properties=species:S:1:pos:R:3 pbc="T T T"
Ba 0.000 0.000 0.000
Na 0.000 2.452 3.553
Cd 2.452 0.000 3.553
Bi 0.000 0.000 5.486
Bi 0.000 0.000 8.726
```

N(E_F), states/eV/atom: 0.67
Formation energy from the elements, meV per atom: -488
ρ, Mg/m³: 6.71
Space group: I-4m2 (119)

---

# SrMgSc

Crystalline SrMgSc at its relaxed geometry (PBE, Alexandria).

Geometry as extended XYZ:
```
3
Lattice="0.000 3.866 3.866 3.866 0.000 3.866 3.866 3.866 0.000" Properties=species:S:1:pos:R:3 pbc="T T T"
Sr 0.000 0.000 0.000
Mg 5.799 5.799 5.799
Sc 1.933 1.933 1.933
```

N(E_F), states/eV/atom: 1.97
Formation energy from the elements, meV per atom: 885
ρ, Mg/m³: 2.25
Space group: F-43m (216)
Offset from the most stable computed form, eV per atom: 0.766

---

# ScMo2Cl

Crystalline ScMo2Cl at its relaxed geometry (PBE, Alexandria).

Geometry as extended XYZ:
```
4
Lattice="3.035 0.000 0.000 0.000 4.690 0.000 0.000 0.000 5.139" Properties=species:S:1:pos:R:3 pbc="T T T"
Sc 0.000 0.000 0.000
Mo 1.518 2.345 1.134
Mo 1.518 2.345 4.005
Cl 0.000 0.000 2.570
```

N(E_F), states/eV/atom: 1.15
Raw formation energy, meV per atom: 374.1
ρ, Mg/m³: 6.18
Space group: Pmmm (47)
Offset from the most stable computed form, eV per atom: 0.603

---

# MgCoSbRu

Crystalline MgCoSbRu at its relaxed geometry (PBE, Alexandria).

Geometry as extended XYZ:
```
4
Lattice="0.000 3.104 3.104 3.104 0.000 3.104 3.104 3.104 0.000" Properties=species:S:1:pos:R:3 pbc="T T T"
Mg 0.000 0.000 0.000
Co 1.552 1.552 1.552
Sb 3.104 3.104 3.104
Ru 4.656 4.656 4.656
```

N(E_F), states/eV/atom: 0.47
Raw formation energy, meV per atom: -122.2
ρ, Mg/m³: 8.50
Space group: F-43m (216)

---

# HfTi2AgN

Crystalline HfTi2AgN at its relaxed geometry (PBE, Alexandria).

Geometry as extended XYZ:
```
5
Lattice="4.170 0.000 0.000 0.000 4.170 0.000 0.000 0.000 4.417" Properties=species:S:1:pos:R:3 pbc="T T T"
Hf 0.000 0.000 0.000
Ti 0.000 2.085 2.209
Ti 2.085 0.000 2.209
Ag 2.085 2.085 0.000
N 0.000 0.000 2.209
```

N(E_F), states/eV/atom: 0.80
Raw formation energy, meV per atom: -766.7
ρ, Mg/m³: 8.56
Space group: P4/mmm (123)
Offset from the most stable computed form, eV per atom: 0.000

---

# KCd2Tc

Crystalline KCd2Tc at its relaxed geometry (PBE, Alexandria).

Geometry as extended XYZ:
```
4
Lattice="0.000 3.637 3.637 3.637 0.000 3.637 3.637 3.637 0.000" Properties=species:S:1:pos:R:3 pbc="T T T"
K 0.000 0.000 0.000
Cd 1.819 1.819 1.819
Cd 5.456 5.456 5.456
Tc 3.637 3.637 3.637
```

N(E_F), states/eV/atom: 0.43
Formation energy from the elements, meV per atom: 792
ρ, Mg/m³: 6.25
Space group: Fm-3m (225)
Offset from the most stable computed form, eV per atom: 0.297

---

# Rb2NbAlCl6

Crystalline Rb2NbAlCl6 at its relaxed geometry (PBE, Alexandria).

Geometry as extended XYZ:
```
10
Lattice="0.000 5.362 5.362 5.362 0.000 5.362 5.362 5.362 0.000" Properties=species:S:1:pos:R:3 pbc="T T T"
Rb 2.681 2.681 2.681
Rb 8.043 8.043 8.043
Nb 0.000 0.000 0.000
Al 5.362 5.362 5.362
Cl 5.362 5.362 2.512
Cl 5.362 2.512 5.362
Cl 8.212 5.362 5.362
Cl 2.512 5.362 5.362
Cl 5.362 8.212 5.362
Cl 5.362 5.362 8.212
```

N(E_F), states/eV/atom: 0.96
Raw formation energy, meV per atom: -1304.9
ρ, Mg/m³: 2.71
Space group: Fm-3m (225)

---

# K2Rb8CdAu

Crystalline K2Rb8CdAu at its relaxed geometry (PBE, Alexandria).

Geometry as extended XYZ:
```
12
Lattice="8.539 0.000 0.000 -2.567 9.062 0.000 -2.708 -3.329 10.641" Properties=species:S:1:pos:R:3 pbc="T T T"
K -0.525 2.319 0.137
K 3.789 3.414 10.504
Rb -1.565 4.555 4.070
Rb -0.057 -0.225 3.951
Rb -0.471 4.739 8.316
Rb 0.988 0.069 8.217
Rb 2.276 5.664 2.424
Rb 3.736 0.994 2.326
Rb 3.322 5.958 6.690
Rb 4.830 1.178 6.571
Cd 1.632 2.866 5.321
Au 2.916 -1.665 5.321
```

N(E_F), states/eV/atom: 0.69
Formation energy from the elements, meV per atom: -28
ρ, Mg/m³: 2.16
Space group: P-1 (2)

---

# Ca2ScGaS5

Crystalline Ca2ScGaS5 at its relaxed geometry (PBE, Alexandria).

Geometry as extended XYZ:
```
18
Lattice="1.888 -8.502 0.000 1.888 8.502 0.000 0.000 0.000 11.957" Properties=species:S:1:pos:R:3 pbc="T T T"
Ca 1.888 6.545 5.978
Ca 1.888 6.305 1.708
Ca 1.888 -6.305 7.687
Ca 1.888 -6.545 0.000
Sc 1.888 4.907 10.173
Sc 1.888 -4.907 4.194
Ga 1.888 0.987 3.112
Ga 1.888 -0.987 9.090
S 1.888 7.664 10.425
S 1.888 3.592 5.923
S 1.888 3.208 2.374
S 1.888 2.432 9.889
S 1.888 0.042 7.117
S 1.888 -0.042 1.139
S 1.888 -2.432 3.911
S 1.888 -3.208 8.352
S 1.888 -3.592 11.902
S 1.888 -7.664 4.447
```

N(E_F), states/eV/atom: 0.00
Raw formation energy, meV per atom: -1654.7
ρ, Mg/m³: 3.07
Space group: Cmc2_1 (36)

---

# LiAlIn2S

Crystalline LiAlIn2S at its relaxed geometry (PBE, Alexandria).

Geometry as extended XYZ:
```
5
Lattice="5.788 0.000 0.000 0.000 5.788 0.000 0.000 0.000 4.540" Properties=species:S:1:pos:R:3 pbc="T T T"
Li 0.000 0.000 0.000
Al 2.894 2.894 0.000
In 0.000 2.894 2.270
In 2.894 0.000 2.270
S 2.894 2.894 2.270
```

N(E_F), states/eV/atom: 0.38
Raw formation energy, meV per atom: 200.3
ρ, Mg/m³: 3.23
Space group: P4/mmm (123)

---

# SmNbTe3

Crystalline SmNbTe3 at its relaxed geometry (PBE, Alexandria).

Geometry as extended XYZ:
```
10
Lattice="7.886 -1.985 0.000 7.886 1.985 0.000 -0.217 0.000 8.984" Properties=species:S:1:pos:R:3 pbc="T T T"
Sm 1.526 0.000 3.576
Sm 14.028 0.000 5.408
Nb 4.559 0.000 1.020
Nb 10.996 0.000 7.964
Te 1.845 0.000 0.337
Te 3.742 0.000 5.958
Te 6.941 0.000 2.926
Te 8.613 0.000 6.059
Te 11.812 0.000 3.026
Te 13.710 0.000 8.647
```

N(E_F), states/eV/atom: 0.50
Raw formation energy, meV per atom: -935.4
ρ, Mg/m³: 7.39
Space group: C2/m (12)

---

# LuZn4Ni

Crystalline LuZn4Ni at its relaxed geometry (PBE, Alexandria).

Geometry as extended XYZ:
```
6
Lattice="0.000 3.613 3.613 3.613 0.000 3.613 3.613 3.613 0.000" Properties=species:S:1:pos:R:3 pbc="T T T"
Lu 0.000 0.000 0.000
Zn 2.716 2.716 2.716
Zn 4.511 4.511 2.716
Zn 4.511 2.716 4.511
Zn 2.716 4.511 4.511
Ni 5.420 5.420 5.420
```

N(E_F), states/eV/atom: 0.68
Formation energy from the elements, meV per atom: -188
ρ, Mg/m³: 8.72
Space group: F-43m (216)

---

Number 1: M_tot 0.000 Bohr magnetons per cell. Number 2: M_tot 2.695 Bohr magnetons per cell. Number 3: M_tot 3.710 Bohr magnetons per cell. Number 4: M_tot 0.000 Bohr magnetons per cell. Number 5: M_tot 8.030 Bohr magnetons per cell. Number 6: M_tot 2.629 Bohr magnetons per cell. Number 7: M_tot 0.000 Bohr magnetons per cell. Number 8: M_tot 0.004 Bohr magnetons per cell. Number 9: M_tot 0.000 Bohr magnetons per cell. Number 10: M_tot 0.101 Bohr magnetons per cell. Number 11: M_tot 0.000 Bohr magnetons per cell. Number 12: M_tot 0.277 Bohr magnetons per cell. Number 13: M_tot 0.591 Bohr magnetons per cell. Number 14: M_tot 2.485 Bohr magnetons per cell. Number 15: M_tot 2.000 Bohr magnetons per cell. Number 16: M_tot 0.000 Bohr magnetons per cell. Number 17: M_tot 0.000 Bohr magnetons per cell. Number 18: M_tot 0.000 Bohr magnetons per cell. Number 19: M_tot 0.000 Bohr magnetons per cell. Number 20: M_tot 0.000 Bohr magnetons per cell.